# MgFe3Br

A geometry-optimized MgFe3Br structure (PBE, the Alexandria database).

The structure belongs to space group Pm-3m (No. 221); the cell edges are 4.6897, 4.6897 and 4.6897 Å and the angles 90.00°, 90.00° and 90.00°. The inequivalent atoms are Mg at (0.0000, 0.0000, 0.0000), Fe at (0.0000, 0.0000, 0.5000) and Br at (0.5000, 0.5000, 0.5000).

Its magnetic moment is 8.5 μB per formula unit. The polymorph energy (0 for the lowest one) is 589 meV/atom. The calculated total energy is -4.18 eV per atom.


# Na2MgFeBr6

A geometry-optimized Na2MgFeBr6 structure (PBE, the Alexandria database).

The structure belongs to space group R3 (No. 146, hexagonal axes); the cell edges are 7.1244, 7.1244 and 18.4861 Å and the angles 90.00°, 90.00° and 120.00°. The inequivalent atoms are Na at (0.0000, 0.0000, 0.0000), Na at (0.0000, 0.0000, 0.5000), Mg at (0.0000, 0.0000, 0.2051), Fe at (0.0000, 0.0000, 0.7048), Br at (0.0554, 0.3344, 0.7810) and Br at (0.0589, 0.7158, 0.2828).

Its magnetic moment is 4.0 μB per formula unit. The calculated total energy is -3.39 eV per atom.


# Mg2NbFeBr

A geometry-optimized Mg2NbFeBr structure (PBE, the Alexandria database).

The structure belongs to space group P4/mmm (No. 123); the cell edges are 5.5173, 5.5173 and 4.8803 Å and the angles 90.00°, 90.00° and 90.00°. The inequivalent atoms are Mg at (0.0000, 0.5000, 0.0000), Nb at (0.0000, 0.0000, 0.0000), Fe at (0.5000, 0.5000, 0.5000) and Br at (0.0000, 0.0000, 0.5000).

Its magnetic moment is 4.9 μB per formula unit. The calculated total energy is -3.47 eV per atom.


# MgNbFe2Br

A geometry-optimized MgNbFe2Br structure (PBE, the Alexandria database).

The structure belongs to space group P4/mmm (No. 123); the cell edges are 4.6939, 4.6939 and 5.1121 Å and the angles 90.00°, 90.00° and 90.00°. The inequivalent atoms are Mg at (0.0000, 0.0000, 0.0000), Nb at (0.5000, 0.5000, 0.5000), Fe at (0.0000, 0.5000, 0.5000) and Br at (0.5000, 0.5000, 0.0000).

Its magnetic moment is 3.9 μB per formula unit. The calculated total energy is -5.03 eV per atom.


# RbMgFe2Br8

A geometry-optimized RbMgFe2Br8 structure (PBE, the Alexandria database).

The structure belongs to space group P-3 (No. 147); the cell edges are 6.8086, 6.8086 and 9.8319 Å and the angles 90.00°, 90.00° and 120.00°. The inequivalent atoms are Rb at (0.0000, 0.0000, 0.0000), Mg at (0.0000, 0.0000, 0.5000), Fe at (0.3333, 0.6667, 0.7354), Br at (0.0009, 0.3195, 0.6647) and Br at (0.3333, 0.6667, 0.9752).

Its magnetic moment is 9.0 μB per formula unit. The calculated total energy is -3.66 eV per atom.


# RbMg2FeBr8

A geometry-optimized RbMg2FeBr8 structure (PBE, the Alexandria database).

The structure belongs to space group C2/m (No. 12); the cell edges are 10.9563, 7.2896 and 9.9921 Å and the angles 90.00°, 94.61° and 90.00°. The inequivalent atoms are Rb at (0.0000, 0.0000, 0.0000), Mg at (0.1334, 0.5000, 0.3145), Fe at (0.0000, 0.0000, 0.5000), Br at (0.0262, 0.2349, 0.6769), Br at (0.1865, 0.5000, 0.0821) and Br at (0.2191, 0.0000, 0.4738).

Its magnetic moment is 1.0 μB per formula unit. The calculated total energy is -3.21 eV per atom.


# Rb2MgFeBr6

A geometry-optimized Rb2MgFeBr6 structure (PBE, the Alexandria database).

The structure belongs to space group P2_1/c (No. 14); the cell edges are 7.5193, 7.5177 and 13.1116 Å and the angles 90.00°, 124.96° and 90.00°. The inequivalent atoms are Rb at (0.2458, 0.0212, 0.2500), Mg at (0.5000, 0.0000, 0.0000), Fe at (0.0000, 0.0000, 0.5000), Br at (0.2018, 0.2244, 0.9830), Br at (0.2588, 0.7185, 0.9833) and Br at (0.2809, 0.5010, 0.2475).

Its magnetic moment is 4.0 μB per formula unit. The polymorph energy (0 for the lowest one) is 0 meV/atom. The calculated total energy is -3.43 eV per atom.


# Rb2MgFeBr6

A geometry-optimized Rb2MgFeBr6 structure (PBE, the Alexandria database).

The structure belongs to space group Fm-3m (No. 225); the cell edges are 10.6836, 10.6836 and 10.6836 Å and the angles 90.00°, 90.00° and 90.00°. The inequivalent atoms are Rb at (0.2500, 0.2500, 0.2500), Mg at (0.0000, 0.0000, 0.0000), Fe at (0.0000, 0.0000, 0.5000) and Br at (0.0000, 0.0000, 0.2526).

Its magnetic moment is 4.0 μB per formula unit. The polymorph energy (0 for the lowest one) is 5 meV/atom. The calculated total energy is -3.42 eV per atom.